# VAgBiO5 GGA+U optimized geometry
# * raw total energy: -6.077 eV/atom
data_VAgBiO5
_cell_length_a 6.0933
_cell_length_b 6.0933
_cell_length_c 8.1394
_cell_angle_alpha 107.45
_cell_angle_beta 107.45
_cell_angle_gamma 96.77
_space_group_name_H-M_alt 'P 1'
_space_group_IT_number 1
loop_
_space_group_symop_operation_xyz
'x,y,z'
loop_
_atom_site_label
_atom_site_fract_x
_atom_site_fract_y
_atom_site_fract_z
_atom_site_occupancy
O1 0.7150 0.1893 0.3988 1
O2 0.2850 0.8107 0.6012 1
O3 0.7267 0.6513 0.3777 1
O4 0.6513 0.7267 0.8777 1
O5 0.0802 0.9198 0.2500 1
O6 0.3487 0.2733 0.1223 1
O7 0.9198 0.0802 0.7500 1
O8 0.1893 0.7150 0.8988 1
O9 0.8107 0.2850 0.1012 1
O10 0.2733 0.3487 0.6223 1
Bi1 0.0000 0.0000 0.0000 1
Bi2 0.0000 0.0000 0.5000 1
V1 0.6536 0.3464 0.2500 1
V2 0.3464 0.6536 0.7500 1
Ag1 0.3220 0.6780 0.2500 1
Ag2 0.6780 0.3220 0.7500 1